[1]
PmSmGePd | PBE-GGA | relaxed

Geometry as extended XYZ:
```
4
Lattice="-0.552 -5.038 0.811 3.422 -2.527 2.873 -1.326 -1.721 4.651" Properties=species:S:1:pos:R:3 pbc="T T T"
Sm 0.772 -4.643 4.168
Pm 0.000 0.000 0.000
Pd 1.158 -6.964 6.252
Ge 0.386 -2.321 2.084
```

Computed properties:
Final energy (eV/atom): -5.57
Total magnetization (Bohr magnetons per cell): 0.0
E_form (meV/atom): -746
Distance to the lowest polymorph of the same formula (meV per atom): 93


[2]
Pm3Sn2GePd6 | PBE-GGA | relaxed

Geometry as extended XYZ:
```
12
Lattice="-3.961 4.158 -1.045 -1.587 -4.935 2.683 1.757 3.598 7.657" Properties=species:S:1:pos:R:3 pbc="T T T"
Pd -1.490 -2.340 4.241
Pd -3.070 2.768 6.354
Pd -3.410 -0.325 3.735
Pd -0.721 0.052 2.941
Pd -2.301 5.160 5.053
Pd -0.381 3.145 5.560
Sn -2.337 -1.819 1.621
Sn -1.454 4.640 7.674
Pm -2.502 2.494 3.107
Pm -1.289 0.327 6.188
Pm 0.000 0.000 0.000
Ge 0.878 1.799 3.828
```

Computed properties:
Final energy (eV/atom): -5.57
Total magnetization (Bohr magnetons per cell): 0.0
E_form (meV/atom): -731


E_form of number 2 (Pm3Sn2GePd6)?
-731 meV/atom